A relaxed CaMgAg4 crystal, computed with PBE-GGA. Values from VASP.

Geometry as Quantum ESPRESSO input:
```
&SYSTEM
  ibrav = 0, nat = 6, ntyp = 3
/
ATOMIC_SPECIES
Ag 107.87 Ag.upf
Mg 24.30 Mg.upf
Ca 40.08 Ca.upf
ATOMIC_POSITIONS angstrom
Ag 0.746 -0.469 2.967
Ag -3.521 -1.204 6.778
Mg -1.388 -0.836 4.873
Ag -0.545 -1.016 7.664
Ca 0.000 0.000 0.000
Ag -2.230 -0.657 2.082
CELL_PARAMETERS angstrom
-0.992 2.092 2.889
-5.149 -0.671 1.091
3.365 -3.093 5.766
```

Formation enthalpy at 0 K: -178 meV per atom
Calculated volume: 122.80 Å³/cell
Spin magnetization: 0.0 μB per formula unit
Energy relative to the lowest polymorph listed for this composition: 17 meV/atom
Crystal system: monoclinic
Space-group type: C2/m